No. 1
Here is a relaxed ErPu2P crystal from the Alexandria database. Energies are from PBE.

energy of formation	-0.32	eV/atom
total magnetization	35.62	Bohr magnetons per cell

CIF file:
```
data_ErPu2P
_cell_length_a 3.6413
_cell_length_b 3.6413
_cell_length_c 28.4041
_cell_angle_alpha 90.00
_cell_angle_beta 90.00
_cell_angle_gamma 120.00
_symmetry_space_group_name_H-M 'R -3 m'
_symmetry_Int_Tables_number 166
_symmetry_space_group_name_Hall '-R 3 2"'
loop_
_atom_site_label
_atom_site_fract_x
_atom_site_fract_y
_atom_site_fract_z
Er1 0.0000 0.0000 0.0000
Pu1 0.0000 0.0000 0.2298
P1 0.0000 0.0000 0.5000
```

***

No. 2
Here is a relaxed Tl2Ag3SnI8 crystal from the Alexandria database. Energies are from PBE.

energy relative to the elements, uncorrected	-322	meV per atom
total magnetization	0.00	Bohr magnetons per cell

CIF file:
```
data_Tl2Ag3SnI8
_cell_length_a 9.0450
_cell_length_b 9.0450
_cell_length_c 24.8153
_cell_angle_alpha 90.00
_cell_angle_beta 90.00
_cell_angle_gamma 120.00
_symmetry_space_group_name_H-M 'R 3 m'
_symmetry_Int_Tables_number 160
_symmetry_space_group_name_Hall 'R 3 -2"'
loop_
_atom_site_label
_atom_site_fract_x
_atom_site_fract_y
_atom_site_fract_z
Tl1 0.0000 0.0000 0.0000
Tl2 0.0000 0.0000 0.3615
Ag1 0.1744 0.3488 0.8281
Sn1 0.0000 0.0000 0.6354
I1 0.0000 0.0000 0.2250
I2 0.0000 0.0000 0.7877
I3 0.0090 0.5045 0.7617
I4 0.0124 0.5062 0.2421
```

***

No. 3
Here is a relaxed Tb2PtRh crystal from the Alexandria database. Energies are from PBE.

energy of formation	-0.85	eV/atom
total magnetization	0.00	Bohr magnetons per cell

CIF file:
```
data_Tb2PtRh
_cell_length_a 4.0514
_cell_length_b 4.0514
_cell_length_c 19.7244
_cell_angle_alpha 90.00
_cell_angle_beta 90.00
_cell_angle_gamma 120.00
_symmetry_space_group_name_H-M 'R -3 m'
_symmetry_Int_Tables_number 166
_symmetry_space_group_name_Hall '-R 3 2"'
loop_
_atom_site_label
_atom_site_fract_x
_atom_site_fract_y
_atom_site_fract_z
Tb1 0.0000 0.0000 0.2475
Pt1 0.0000 0.0000 0.0000
Rh1 0.0000 0.0000 0.5000
```

***

No. 4
Here is a relaxed Ca4InAu crystal from the Alexandria database. Energies are from PBE.

relative energy among the computed polymorphs	0.6838	eV/atom
energy of formation	0.23	eV/atom
total magnetization	0.02	Bohr magnetons per cell

CIF file:
```
data_Ca4InAu
_cell_length_a 9.224
_cell_length_b 9.224
_cell_length_c 9.224
_cell_angle_alpha 90.00
_cell_angle_beta 90.00
_cell_angle_gamma 90.00
_symmetry_space_group_name_H-M 'F -4 3 m'
_symmetry_Int_Tables_number 216
_symmetry_space_group_name_Hall 'F -4 2 3'
loop_
_atom_site_label
_atom_site_fract_x
_atom_site_fract_y
_atom_site_fract_z
Ca1 0.125 0.125 0.125
In1 0.250 0.250 0.750
Au1 0.000 0.000 0.500
```